No. 1
# PBE Ga2SiNi8, relaxed
data_Ga2SiNi8
_space_group_name_H-M_alt 'C 1 2/m 1'
_space_group_IT_number 12
_space_group_name_Hall '-C 2y'
_cell_length_a 12.7198
_cell_length_b 3.6894
_cell_length_c 5.5295
_cell_angle_alpha 90.00
_cell_angle_beta 105.25
_cell_angle_gamma 90.00
loop_
_atom_site_label
_atom_site_fract_x
_atom_site_fract_y
_atom_site_fract_z
Ga1 0.2173 0.0000 0.1551
Si1 0.0000 0.5000 0.5000
Ni1 0.0377 0.0000 0.2351
Ni2 0.0897 0.5000 0.9490
Ni3 0.1434 0.0000 0.6913
Ni4 0.1729 0.5000 0.4171
# crystal system = monoclinic
# final energy = -61.15 eV per formula unit
# E_form (uncorrected) = -311.3 meV/atom
# total magnetic moment = 0.0 μB per cell


No. 2
# PBE PaGePb, relaxed
data_PaGePb
_space_group_name_H-M_alt 'P -6 m 2'
_space_group_IT_number 187
_space_group_name_Hall 'P -6 2'
_cell_length_a 3.2865
_cell_length_b 3.2865
_cell_length_c 16.1149
_cell_angle_alpha 90.00
_cell_angle_beta 90.00
_cell_angle_gamma 120.00
loop_
_atom_site_label
_atom_site_fract_x
_atom_site_fract_y
_atom_site_fract_z
Pa1 0.0000 0.0000 0.0000
Pa2 0.3333 0.6667 0.5000
Ge1 0.3333 0.6667 0.1511
Pb1 0.0000 0.0000 0.3180
# crystal system = hexagonal
# final energy = -17.35 eV per formula unit
# total magnetic moment = 0.0 μB per cell
# energy above the most stable polymorph in this dataset = 25 meV/atom


No. 3
# PBE MgTe6Pb5, relaxed
data_MgTe6Pb5
_space_group_name_H-M_alt 'C 1 2/m 1'
_space_group_IT_number 12
_space_group_name_Hall '-C 2y'
_cell_length_a 7.9249
_cell_length_b 13.7068
_cell_length_c 7.9210
_cell_angle_alpha 90.00
_cell_angle_beta 109.60
_cell_angle_gamma 90.00
loop_
_atom_site_label
_atom_site_fract_x
_atom_site_fract_y
_atom_site_fract_z
Mg1 0.0000 0.0000 0.0000
Te1 0.2337 0.0000 0.7564
Te2 0.2358 0.1573 0.2367
Pb1 0.0000 0.1697 0.5000
Pb2 0.0000 0.3338 0.0000
Pb3 0.0000 0.5000 0.5000
# crystal system = monoclinic
# final energy = -44.55 eV per formula unit
# E_form (uncorrected) = -463.6 meV/atom
# total magnetic moment = 0.0 μB per cell


No. 4
# PBE PuCdSnGe, relaxed
data_PuCdSnGe
_space_group_name_H-M_alt 'F -4 3 m'
_space_group_IT_number 216
_space_group_name_Hall 'F -4 2 3'
_cell_length_a 7.2289
_cell_length_b 7.2289
_cell_length_c 7.2289
_cell_angle_alpha 90.00
_cell_angle_beta 90.00
_cell_angle_gamma 90.00
loop_
_atom_site_label
_atom_site_fract_x
_atom_site_fract_y
_atom_site_fract_z
Pu1 0.0000 0.0000 0.0000
Cd1 0.0000 0.0000 0.5000
Sn1 0.2500 0.2500 0.2500
Ge1 0.2500 0.2500 0.7500
# crystal system = cubic
# final energy = -24.24 eV per formula unit
# total magnetic moment = 22.4 μB per cell
# energy above the most stable polymorph in this dataset = 185 meV/atom


- Which formula does entry 2 have?
  PaGePb